VASP calculation (PBE-GGA) on a geometry-optimized AlGe2PdW structure.

Cell and atoms, written as CIF:
```
data_AlGe2PdW
_chemical_formula_sum 'Al1 Ge2 Pd1 W1'
_symmetry_space_group_name_H-M 'P 1'
_symmetry_Int_Tables_number 1
_symmetry_space_group_name_Hall 'P 1'
_cell_length_a 4.635
_cell_length_b 4.635
_cell_length_c 4.662
_cell_angle_alpha 90.00
_cell_angle_beta 90.00
_cell_angle_gamma 90.00
loop_
_atom_site_label
_atom_site_type_symbol
_atom_site_fract_x
_atom_site_fract_y
_atom_site_fract_z
Al1 Al 0.000 0.000 0.000
Ge1 Ge 0.000 0.500 0.000
Ge2 Ge 0.500 0.000 0.000
Pd1 Pd 0.500 0.500 0.500
W1 W 0.000 0.000 0.500
```

- Mass density: 7.666 g cm⁻³
- Space group: P4/mmm
- Magnetization: 0.017 μB per atom
- Calculated volume: 100.2 Å³/f.u.
- DFT formation energy: 1303 meV per atom